Crystalline NaAcTeO6 at its relaxed geometry. Source: the Alexandria database, functional PBE.

Output
ρ   5.36 Mg/m³
Formation energy (no corrections)   -1.58 eV/atom
Spin magnetization   2.0 μB/f.u.

a = 5.732 Å, b = 5.732 Å, c = 5.160 Å
α = 90.00°, β = 90.00°, γ = 120.00°
Sites, in units of the cell vectors:
Na 0.000 0.000 0.000
Ac 0.667 0.333 0.500
Te 0.333 0.667 0.000
O 0.048 0.394 0.211
O 0.048 0.654 0.789
O 0.346 0.394 0.789
O 0.346 0.952 0.211
O 0.606 0.654 0.211
O 0.606 0.952 0.789